1.
Density functional theory data (PBE) for RbLa2Br after structural relaxation.

```
data_RbLa2Br
_chemical_formula_sum 'Rb4 La8 Br4'
_cell_length_a 5.789
_cell_length_b 5.789
_cell_length_c 22.540
_cell_angle_alpha 90.00
_cell_angle_beta 90.00
_cell_angle_gamma 90.00
_space_group_name_H-M_alt 'I -4 2 d'
_space_group_IT_number 122
_space_group_name_Hall 'I -4 2bw'
loop_
_atom_site_label
_atom_site_fract_x
_atom_site_fract_y
_atom_site_fract_z
_atom_site_occupancy
Rb1 0.000 0.000 0.000 1
La1 0.056 0.250 0.625 1
Br1 0.000 0.000 0.500 1
```

Computed properties:
M_tot = 0.0 μB per formula unit
Final energy = -51.1 eV/cell

---

2.
Density functional theory data (PBE) for RbLaBr3 after structural relaxation.

```
data_RbLaBr3
_chemical_formula_sum 'Rb1 La1 Br3'
_cell_length_a 5.934
_cell_length_b 5.934
_cell_length_c 5.934
_cell_angle_alpha 90.00
_cell_angle_beta 90.00
_cell_angle_gamma 90.00
_space_group_name_H-M_alt 'P m -3 m'
_space_group_IT_number 221
_space_group_name_Hall '-P 4 2 3'
loop_
_atom_site_label
_atom_site_fract_x
_atom_site_fract_y
_atom_site_fract_z
_atom_site_occupancy
Rb1 0.000 0.000 0.000 1
La1 0.500 0.500 0.500 1
Br1 0.000 0.500 0.500 1
```

Computed properties:
M_tot = 0.8 μB per formula unit
Final energy = -19.1 eV/cell